This record from Alexandria via LeMat-Bulk describes a relaxed structure of MgTl2Cu. The functional is PBE-GGA.

Structure (POSCAR):
```
MgTl2Cu
1.0
4.9181 -0.0903 -0.1094
3.6612 3.2850 -0.1094
1.4939 0.5563 5.4806
Cu Mg Tl
1 1 2
Direct
0.7500 0.7500 0.7500
0.2500 0.2500 0.2500
0.0129 0.0129 0.9797
0.4871 0.4871 0.5203
```

Calculated values
Formation enthalpy at 0 K ... 0.160 eV per atom
Distance to the lowest polymorph of the same formula ... 0.036 eV/atom
Final energy ... -9.78 eV per cell
SG ... No. 12
Total magnetic moment ... 0.000 μB per atom

This record from Alexandria via LeMat-Bulk describes a relaxed structure of MgTl2Cu. The functional is PBE-GGA.

Structure (POSCAR):
```
MgTl2Cu
1.0
9.3047 -0.0173 -0.0102
8.6597 3.4040 -0.0102
8.6597 1.6326 2.9870
Tl Mg Cu
2 1 1
Direct
0.7651 0.7651 0.7651
0.9946 0.9946 0.9946
0.2361 0.2361 0.2361
0.5042 0.5042 0.5042
```

Calculated values
Formation enthalpy at 0 K ... 0.129 eV per atom
Distance to the lowest polymorph of the same formula ... 0.005 eV/atom
Final energy ... -9.91 eV per cell
SG ... No. 160
Total magnetic moment ... 0.000 μB per atom

This record from Alexandria via LeMat-Bulk describes a relaxed structure of MgTlCu. The functional is PBE-GGA.

Structure (POSCAR):
```
MgTlCu
1.0
-3.4887 0.7618 -2.7406
-2.1393 -3.4561 -1.9341
-4.1685 -1.0834 1.3085
Tl Mg Cu
1 1 1
Direct
0.5000 0.5000 0.5000
0.0000 0.0000 0.0000
0.7500 0.7500 0.7500
```

Calculated values
Formation enthalpy at 0 K ... 0.063 eV per atom
Final energy ... -7.87 eV per cell
SG ... No. 216
Total magnetic moment ... 0.000 μB per atom

This record from Alexandria via LeMat-Bulk describes a relaxed structure of Mg5Tl4Cu. The functional is PBE-GGA.

Structure (POSCAR):
```
Mg5Tl4Cu
1.0
3.4570 0.0000 0.0000
0.0000 3.4570 0.0000
0.0000 0.0000 19.3985
Cu Mg Tl
1 5 4
Direct
0.0000 0.0000 0.0000
0.5000 0.5000 0.2840
0.5000 0.5000 0.5000
0.5000 0.5000 0.9255
0.5000 0.5000 0.0745
0.5000 0.5000 0.7160
0.0000 0.0000 0.8185
0.0000 0.0000 0.6073
0.0000 0.0000 0.3927
0.0000 0.0000 0.1815
```

Calculated values
Formation enthalpy at 0 K ... -0.023 eV per atom
Final energy ... -21.76 eV per cell
SG ... No. 123
Total magnetic moment ... 0.000 μB per atom